! PBE with a Hubbard U W2O5, optimized geometry; values from VASP
! - SG = No. 32
! - E_tot (eV per formula unit) = -52.76
! - mass density (g cm⁻³) = 7.40
! - total moment (μB per formula unit) = 2.00
! - N(E_F) (states/eV/cell) = 0.78
! - distance to the lowest polymorph of the same formula (meV per atom) = 0.0
! - V (Å³/atom) = 14.4
&SYSTEM
  ibrav = 0, nat = 14, ntyp = 2
/
ATOMIC_SPECIES
W 183.84 W.upf
O 16.00 O.upf
CELL_PARAMETERS angstrom
4.038 0.000 0.000
0.000 12.881 0.000
0.000 0.000 3.863
ATOMIC_POSITIONS crystal
W 0.001 0.151 0.000
W 0.499 0.651 0.000
W 0.501 0.349 0.000
W 0.999 0.849 0.000
O 0.000 0.000 0.027
O 0.002 0.154 0.502
O 0.002 0.316 0.994
O 0.498 0.654 0.502
O 0.498 0.816 0.994
O 0.500 0.500 0.027
O 0.502 0.184 0.994
O 0.502 0.346 0.502
O 0.998 0.684 0.994
O 0.998 0.846 0.502